VASP calculation (PBE) on a relaxed Cs3K4 crystal.

Energy of formation ... 0.01 eV per atom

Lattice parameters (Å, degrees): 8.1158 13.3419 13.3419 120.00 90.00 90.00
Closest atoms and distances in Å follow each position.
Fractional positions:
Cs: 0.2500 0.7380 0.9288  5 K 4.74-5.11, 4 Cs 5.12
Cs: 0.2500 0.0712 0.8092  5 K 4.74-5.11, 4 Cs 5.12
Cs: 0.7500 0.8092 0.7380  5 K 4.74-5.11, 4 Cs 5.12
Cs: 0.7500 0.9288 0.1908  5 K 4.74-5.11, 4 Cs 5.12
Cs: 0.7500 0.2620 0.0712  5 K 4.74-5.11, 4 Cs 5.12
Cs: 0.2500 0.1908 0.2620  5 K 4.74-5.11, 4 Cs 5.12
K: 0.7500 0.6667 0.3333  3 Cs 4.74, 9 K 4.88-5.11
K: 0.7500 0.3982 0.5033  7 K 4.71-5.11, 4 Cs 4.77-5.11
K: 0.2500 0.8949 0.3982  7 K 4.71-5.11, 4 Cs 4.77-5.11
K: 0.2500 0.5033 0.1051  7 K 4.71-5.11, 4 Cs 4.77-5.11
K: 0.2500 0.3333 0.6667  3 Cs 4.74, 9 K 4.88-5.11
K: 0.7500 0.4967 0.8949  7 K 4.71-5.11, 4 Cs 4.77-5.11
K: 0.7500 0.1051 0.6018  7 K 4.71-5.11, 4 Cs 4.77-5.11
K: 0.2500 0.6018 0.4967  7 K 4.71-5.11, 4 Cs 4.77-5.11

---

VASP calculation (PBE) on a relaxed Cs6K crystal.

Energy of formation ... 0.05 eV per atom

Lattice parameters (Å, degrees): 8.3243 8.3243 11.9209 90.00 90.00 90.00
Closest atoms and distances in Å follow each position.
Fractional positions:
Cs: 0.5000 0.0000 0.2538  4 Cs 5.09-5.15, 2 K 5.15
Cs: 0.5000 0.5000 0.0000  8 Cs 5.15
Cs: 0.0000 0.0000 0.5000  8 Cs 5.09
Cs: 0.5000 0.0000 0.7462  4 Cs 5.09-5.15, 2 K 5.15
Cs: 0.0000 0.5000 0.2538  4 Cs 5.09-5.15, 2 K 5.15
Cs: 0.0000 0.5000 0.7462  4 Cs 5.09-5.15, 2 K 5.15
K: 0.0000 0.0000 0.0000  8 Cs 5.15